Entry 1:
Al2CuW | PBE-GGA | optimized geometry

Geometry as CIF:
```
data_Al2CuW
_chemical_formula_sum 'Al8 Cu4 W4'
_symmetry_space_group_name_H-M 'F m -3 m'
_symmetry_Int_Tables_number 225
_symmetry_space_group_name_Hall '-F 4 2 3'
_cell_length_a 6.1435
_cell_length_b 6.1435
_cell_length_c 6.1435
_cell_angle_alpha 90.00
_cell_angle_beta 90.00
_cell_angle_gamma 90.00
loop_
_atom_site_label
_atom_site_fract_x
_atom_site_fract_y
_atom_site_fract_z
_atom_site_occupancy
Al1 0.2500 0.2500 0.2500 1
Cu1 0.0000 0.0000 0.0000 1
W1 0.0000 0.0000 0.5000 1
```

- polymorph energy (0 for the lowest one) (meV/atom) = 245
- E_form (eV/atom) = 0.16
- V (Å³ per cell) = 231.9
- total DFT energy (no corrections) (eV per formula unit) = -23.9



Entry 2:
BeNiW | PBE-GGA | optimized geometry

Geometry as CIF:
```
data_BeNiW
_chemical_formula_sum 'Be4 Ni4 W4'
_symmetry_space_group_name_H-M 'C m c m'
_symmetry_Int_Tables_number 63
_symmetry_space_group_name_Hall '-C 2c 2'
_cell_length_a 3.2978
_cell_length_b 8.6957
_cell_length_c 4.7070
_cell_angle_alpha 90.00
_cell_angle_beta 90.00
_cell_angle_gamma 90.00
loop_
_atom_site_label
_atom_site_fract_x
_atom_site_fract_y
_atom_site_fract_z
_atom_site_occupancy
Be1 0.0000 0.0836 0.2500 1
Ni1 0.0000 0.5000 0.0000 1
W1 0.0000 0.2127 0.7500 1
```

- polymorph energy (0 for the lowest one) (meV/atom) = 88
- E_form (eV/atom) = -0.15
- V (Å³ per cell) = 135.0
- total DFT energy (no corrections) (eV per formula unit) = -22.9



Entry 3:
Tl4CdHg6 | PBE-GGA | optimized geometry

Geometry as CIF:
```
data_Tl4CdHg6
_chemical_formula_sum 'Tl16 Cd4 Hg24'
_symmetry_space_group_name_H-M 'C m c m'
_symmetry_Int_Tables_number 63
_symmetry_space_group_name_Hall '-C 2c 2'
_cell_length_a 5.0096
_cell_length_b 12.4663
_cell_length_c 20.8300
_cell_angle_alpha 90.00
_cell_angle_beta 90.00
_cell_angle_gamma 90.00
loop_
_atom_site_label
_atom_site_fract_x
_atom_site_fract_y
_atom_site_fract_z
_atom_site_occupancy
Tl1 0.0000 0.1565 0.0028 1
Tl2 0.0000 0.3335 0.6326 1
Cd1 0.0000 0.4931 0.2500 1
Hg1 0.0000 0.0006 0.1388 1
Hg2 0.0000 0.1728 0.7500 1
Hg3 0.0000 0.3391 0.1280 1
Hg4 0.0000 0.5000 0.0000 1
```

- E_form (eV/atom) = 0.01
- V (Å³ per cell) = 1300.9
- total DFT energy (no corrections) (eV per formula unit) = -12.1



Entry 4:
LaPRu2 | PBE-GGA | optimized geometry

Geometry as CIF:
```
data_LaPRu2
_chemical_formula_sum 'La3 P3 Ru6'
_symmetry_space_group_name_H-M 'R 3 m'
_symmetry_Int_Tables_number 160
_symmetry_space_group_name_Hall 'R 3 -2"'
_cell_length_a 4.2393
_cell_length_b 4.2393
_cell_length_c 15.3071
_cell_angle_alpha 90.00
_cell_angle_beta 90.00
_cell_angle_gamma 120.00
loop_
_atom_site_label
_atom_site_fract_x
_atom_site_fract_y
_atom_site_fract_z
_atom_site_occupancy
La1 0.0000 0.0000 0.0000 1
P1 0.0000 0.0000 0.7950 1
Ru1 0.0000 0.0000 0.1916 1
Ru2 0.0000 0.0000 0.5043 1
```

- E_form (eV/atom) = -0.50
- V (Å³ per cell) = 238.2
- total DFT energy (no corrections) (eV per formula unit) = -30.9



Entry 5:
LiBeZnF6 | PBE-GGA | optimized geometry

Geometry as CIF:
```
data_LiBeZnF6
_chemical_formula_sum 'Li2 Be2 Zn2 F12'
_symmetry_space_group_name_H-M 'P -3 1 c'
_symmetry_Int_Tables_number 163
_symmetry_space_group_name_Hall '-P 3 2c'
_cell_length_a 4.8820
_cell_length_b 4.8820
_cell_length_c 9.0105
_cell_angle_alpha 90.00
_cell_angle_beta 90.00
_cell_angle_gamma 120.00
loop_
_atom_site_label
_atom_site_fract_x
_atom_site_fract_y
_atom_site_fract_z
_atom_site_occupancy
Li1 0.0000 0.0000 0.0000 1
Be1 0.3333 0.6667 0.2500 1
Zn1 0.3333 0.6667 0.7500 1
F1 0.0350 0.3739 0.1376 1
```

- V (Å³ per cell) = 186.0
- uncorrected formation energy (kcal/mol of atoms) = -54.9
- total DFT energy (no corrections) (eV per formula unit) = -39.6



Entry 6:
Zn4Pt5W | PBE-GGA | optimized geometry

Geometry as CIF:
```
data_Zn4Pt5W
_chemical_formula_sum 'Zn4 Pt5 W1'
_symmetry_space_group_name_H-M 'P 4/m m m'
_symmetry_Int_Tables_number 123
_symmetry_space_group_name_Hall '-P 4 2'
_cell_length_a 2.8254
_cell_length_b 2.8254
_cell_length_c 18.5896
_cell_angle_alpha 90.00
_cell_angle_beta 90.00
_cell_angle_gamma 90.00
loop_
_atom_site_label
_atom_site_fract_x
_atom_site_fract_y
_atom_site_fract_z
_atom_site_occupancy
Zn1 0.0000 0.0000 0.0981 1
Zn2 0.0000 0.0000 0.2932 1
Pt1 0.5000 0.5000 0.0000 1
Pt2 0.5000 0.5000 0.1957 1
Pt3 0.5000 0.5000 0.3958 1
W1 0.0000 0.0000 0.5000 1
```

- E_form (eV/atom) = -0.49
- V (Å³ per cell) = 148.4
- total DFT energy (no corrections) (eV per formula unit) = -53.1



Entry 7:
AgCl4F | PBE-GGA | optimized geometry

Geometry as CIF:
```
data_AgCl4F
_chemical_formula_sum 'Ag4 Cl16 F4'
_symmetry_space_group_name_H-M 'C 1 2/c 1'
_symmetry_Int_Tables_number 15
_symmetry_space_group_name_Hall '-C 2yc'
_cell_length_a 6.2050
_cell_length_b 14.6979
_cell_length_c 7.3120
_cell_angle_alpha 90.00
_cell_angle_beta 103.75
_cell_angle_gamma 90.00
loop_
_atom_site_label
_atom_site_fract_x
_atom_site_fract_y
_atom_site_fract_z
_atom_site_occupancy
Ag1 0.0000 0.0124 0.2500 1
Cl1 0.1480 0.2790 0.7104 1
Cl2 0.2316 0.4995 0.4475 1
F1 0.0000 0.1988 0.2500 1
```

- polymorph energy (0 for the lowest one) (meV/atom) = 55
- V (Å³ per cell) = 647.8
- uncorrected formation energy (kcal/mol of atoms) = -5.6
- total DFT energy (no corrections) (eV per formula unit) = -13.6



Entry 8:
RePIr2Au | PBE-GGA | optimized geometry

Geometry as CIF:
```
data_RePIr2Au
_chemical_formula_sum 'Re1 P1 Ir2 Au1'
_symmetry_space_group_name_H-M 'P 4/m m m'
_symmetry_Int_Tables_number 123
_symmetry_space_group_name_Hall '-P 4 2'
_cell_length_a 4.7135
_cell_length_b 4.7135
_cell_length_c 5.0138
_cell_angle_alpha 90.00
_cell_angle_beta 90.00
_cell_angle_gamma 90.00
loop_
_atom_site_label
_atom_site_fract_x
_atom_site_fract_y
_atom_site_fract_z
_atom_site_occupancy
Re1 0.0000 0.0000 0.0000 1
P1 0.5000 0.5000 0.5000 1
Ir1 0.0000 0.5000 0.0000 1
Au1 0.0000 0.0000 0.5000 1
```

- E_form (eV/atom) = 1.88
- V (Å³ per cell) = 111.4
- total DFT energy (no corrections) (eV per formula unit) = -29.5



Entry 9:
Ba12AgAu5 | PBE-GGA | optimized geometry

Geometry as CIF:
```
data_Ba12AgAu5
_chemical_formula_sum 'Ba24 Ag2 Au10'
_symmetry_space_group_name_H-M 'C 1 2/m 1'
_symmetry_Int_Tables_number 12
_symmetry_space_group_name_Hall '-C 2y'
_cell_length_a 8.2156
_cell_length_b 14.6099
_cell_length_c 15.4279
_cell_angle_alpha 90.00
_cell_angle_beta 90.22
_cell_angle_gamma 90.00
loop_
_atom_site_label
_atom_site_fract_x
_atom_site_fract_y
_atom_site_fract_z
_atom_site_occupancy
Ba1 0.1586 0.0000 0.1172 1
Ba2 0.1632 0.1668 0.3853 1
Ba3 0.1639 0.5000 0.3847 1
Ba4 0.1677 0.3301 0.1167 1
Ag1 0.0000 0.5000 0.0000 1
Au1 0.0000 0.0000 0.5000 1
Au2 0.0000 0.1663 0.0000 1
Au3 0.0000 0.3337 0.5000 1
```

- E_form (eV/atom) = -0.44
- V (Å³ per cell) = 1851.8
- total DFT energy (no corrections) (eV per formula unit) = -50.2



Entry 10:
LiSiOs3 | PBE-GGA | optimized geometry

Geometry as CIF:
```
data_LiSiOs3
_chemical_formula_sum 'Li1 Si1 Os3'
_symmetry_space_group_name_H-M 'P m -3 m'
_symmetry_Int_Tables_number 221
_symmetry_space_group_name_Hall '-P 4 2 3'
_cell_length_a 4.4157
_cell_length_b 4.4157
_cell_length_c 4.4157
_cell_angle_alpha 90.00
_cell_angle_beta 90.00
_cell_angle_gamma 90.00
loop_
_atom_site_label
_atom_site_fract_x
_atom_site_fract_y
_atom_site_fract_z
_atom_site_occupancy
Li1 0.0000 0.0000 0.0000 1
Si1 0.5000 0.5000 0.5000 1
Os1 0.0000 0.5000 0.5000 1
```

- polymorph energy (0 for the lowest one) (meV/atom) = 0
- V (Å³ per cell) = 86.1
- uncorrected formation energy (kcal/mol of atoms) = 26.7
- total DFT energy (no corrections) (eV per formula unit) = -35.2



Entry 11:
Mg6CdAu | PBE-GGA | optimized geometry

Geometry as CIF:
```
data_Mg6CdAu
_chemical_formula_sum 'Mg18 Cd3 Au3'
_symmetry_space_group_name_H-M 'R -3 m'
_symmetry_Int_Tables_number 166
_symmetry_space_group_name_Hall '-R 3 2"'
_cell_length_a 4.8804
_cell_length_b 4.8804
_cell_length_c 23.8088
_cell_angle_alpha 90.00
_cell_angle_beta 90.00
_cell_angle_gamma 120.00
loop_
_atom_site_label
_atom_site_fract_x
_atom_site_fract_y
_atom_site_fract_z
_atom_site_occupancy
Mg1 0.0000 0.0000 0.1204 1
Mg2 0.0000 0.0000 0.2482 1
Mg3 0.0000 0.0000 0.3716 1
Cd1 0.0000 0.0000 0.5000 1
Au1 0.0000 0.0000 0.0000 1
```

- E_form (eV/atom) = -0.17
- V (Å³ per cell) = 491.1
- total DFT energy (no corrections) (eV per formula unit) = -15.2



Entry 12:
Sr2GaSiTc | PBE-GGA | optimized geometry

Geometry as CIF:
```
data_Sr2GaSiTc
_chemical_formula_sum 'Sr2 Ga1 Si1 Tc1'
_symmetry_space_group_name_H-M 'P 4/m m m'
_symmetry_Int_Tables_number 123
_symmetry_space_group_name_Hall '-P 4 2'
_cell_length_a 5.8225
_cell_length_b 5.8225
_cell_length_c 4.7148
_cell_angle_alpha 90.00
_cell_angle_beta 90.00
_cell_angle_gamma 90.00
loop_
_atom_site_label
_atom_site_fract_x
_atom_site_fract_y
_atom_site_fract_z
_atom_site_occupancy
Sr1 0.0000 0.5000 0.0000 1
Ga1 0.0000 0.0000 0.0000 1
Si1 0.5000 0.5000 0.5000 1
Tc1 0.0000 0.0000 0.5000 1
```

- V (Å³ per cell) = 159.8
- uncorrected formation energy (kcal/mol of atoms) = 14.5
- total DFT energy (no corrections) (eV per formula unit) = -19.0



Entry 13:
Pr8Nd6Mg | PBE-GGA | optimized geometry

Geometry as CIF:
```
data_Pr8Nd6Mg
_chemical_formula_sum 'Pr8 Nd6 Mg1'
_symmetry_space_group_name_H-M 'P -3'
_symmetry_Int_Tables_number 147
_symmetry_space_group_name_Hall '-P 3'
_cell_length_a 9.6007
_cell_length_b 9.6007
_cell_length_c 6.6551
_cell_angle_alpha 90.00
_cell_angle_beta 90.00
_cell_angle_gamma 120.00
loop_
_atom_site_label
_atom_site_fract_x
_atom_site_fract_y
_atom_site_fract_z
_atom_site_occupancy
Pr1 0.0394 0.7677 0.1791 1
Pr2 0.3333 0.6667 0.1340 1
Nd1 0.0919 0.6478 0.6684 1
Mg1 0.0000 0.0000 0.5000 1
```

- E_form (eV/atom) = 0.11
- V (Å³ per cell) = 531.2
- total DFT energy (no corrections) (eV per formula unit) = -66.8



Entry 14:
HoSi2AgS6 | PBE-GGA | optimized geometry

Geometry as CIF:
```
data_HoSi2AgS6
_chemical_formula_sum 'Ho4 Si8 Ag4 S24'
_symmetry_space_group_name_H-M 'C 1 2/c 1'
_symmetry_Int_Tables_number 15
_symmetry_space_group_name_Hall '-C 2yc'
_cell_length_a 12.5300
_cell_length_b 11.6995
_cell_length_c 6.4364
_cell_angle_alpha 90.00
_cell_angle_beta 107.54
_cell_angle_gamma 90.00
loop_
_atom_site_label
_atom_site_fract_x
_atom_site_fract_y
_atom_site_fract_z
_atom_site_occupancy
Ho1 0.0000 0.1263 0.2500 1
Si1 0.2021 0.4254 0.2552 1
Ag1 0.0000 0.2744 0.7500 1
S1 0.1196 0.0683 0.6598 1
S2 0.1334 0.4384 0.5255 1
S3 0.1406 0.2634 0.1214 1
```

- V (Å³ per cell) = 899.7
- uncorrected formation energy (kcal/mol of atoms) = -19.7
- total DFT energy (no corrections) (eV per formula unit) = -51.6



Entry 15:
LiP2Pt7Pb2 | PBE-GGA | optimized geometry

Geometry as CIF:
```
data_LiP2Pt7Pb2
_chemical_formula_sum 'Li2 P4 Pt14 Pb4'
_symmetry_space_group_name_H-M 'I 4/m m m'
_symmetry_Int_Tables_number 139
_symmetry_space_group_name_Hall '-I 4 2'
_cell_length_a 3.9195
_cell_length_b 3.9195
_cell_length_c 29.7261
_cell_angle_alpha 90.00
_cell_angle_beta 90.00
_cell_angle_gamma 90.00
loop_
_atom_site_label
_atom_site_fract_x
_atom_site_fract_y
_atom_site_fract_z
_atom_site_occupancy
Li1 0.0000 0.0000 0.0000 1
P1 0.0000 0.0000 0.3880 1
Pt1 0.0000 0.0000 0.3108 1
Pt2 0.0000 0.0000 0.5000 1
Pt3 0.0000 0.5000 0.0684 1
Pb1 0.0000 0.0000 0.2105 1
```

- E_form (eV/atom) = -0.42
- V (Å³ per cell) = 456.7
- total DFT energy (no corrections) (eV per formula unit) = -67.4



Entry 16:
TaV3Tc | PBE-GGA | optimized geometry

Geometry as CIF:
```
data_TaV3Tc
_chemical_formula_sum 'Ta1 V3 Tc1'
_symmetry_space_group_name_H-M 'P m -3 m'
_symmetry_Int_Tables_number 221
_symmetry_space_group_name_Hall '-P 4 2 3'
_cell_length_a 4.5669
_cell_length_b 4.5669
_cell_length_c 4.5669
_cell_angle_alpha 90.00
_cell_angle_beta 90.00
_cell_angle_gamma 90.00
loop_
_atom_site_label
_atom_site_fract_x
_atom_site_fract_y
_atom_site_fract_z
_atom_site_occupancy
Ta1 0.0000 0.0000 0.0000 1
V1 0.0000 0.0000 0.5000 1
Tc1 0.5000 0.5000 0.5000 1
```

- polymorph energy (0 for the lowest one) (meV/atom) = 1733
- E_form (eV/atom) = 1.74
- V (Å³ per cell) = 95.2
- total DFT energy (no corrections) (eV per formula unit) = -40.9



Entry 17:
SrSeBr2 | PBE-GGA | optimized geometry

Geometry as CIF:
```
data_SrSeBr2
_chemical_formula_sum 'Sr3 Se3 Br6'
_symmetry_space_group_name_H-M 'R 3 m'
_symmetry_Int_Tables_number 160
_symmetry_space_group_name_Hall 'R 3 -2"'
_cell_length_a 4.8426
_cell_length_b 4.8426
_cell_length_c 20.8995
_cell_angle_alpha 90.00
_cell_angle_beta 90.00
_cell_angle_gamma 120.00
loop_
_atom_site_label
_atom_site_fract_x
_atom_site_fract_y
_atom_site_fract_z
_atom_site_occupancy
Sr1 0.0000 0.0000 0.0000 1
Se1 0.0000 0.0000 0.2403 1
Br1 0.0000 0.0000 0.5647 1
Br2 0.0000 0.0000 0.7379 1
```

- polymorph energy (0 for the lowest one) (meV/atom) = 284
- V (Å³ per cell) = 424.5
- uncorrected formation energy (kcal/mol of atoms) = -23.8
- total DFT energy (no corrections) (eV per formula unit) = -12.6



Entry 18:
Cs2BaMnI6 | PBE-GGA | optimized geometry

Geometry as CIF:
```
data_Cs2BaMnI6
_chemical_formula_sum 'Cs8 Ba4 Mn4 I24'
_symmetry_space_group_name_H-M 'F m -3 m'
_symmetry_Int_Tables_number 225
_symmetry_space_group_name_Hall '-F 4 2 3'
_cell_length_a 12.5740
_cell_length_b 12.5740
_cell_length_c 12.5740
_cell_angle_alpha 90.00
_cell_angle_beta 90.00
_cell_angle_gamma 90.00
loop_
_atom_site_label
_atom_site_fract_x
_atom_site_fract_y
_atom_site_fract_z
_atom_site_occupancy
Cs1 0.2500 0.2500 0.2500 1
Ba1 0.0000 0.0000 0.0000 1
Mn1 0.0000 0.0000 0.5000 1
I1 0.0000 0.0000 0.2690 1
```

- polymorph energy (0 for the lowest one) (meV/atom) = 15
- V (Å³ per cell) = 1988.0
- uncorrected formation energy (kcal/mol of atoms) = -28.8
- total DFT energy (no corrections) (eV per formula unit) = -34.6



Entry 19:
La4Ho3In4 | PBE-GGA | optimized geometry

Geometry as CIF:
```
data_La4Ho3In4
_chemical_formula_sum 'La8 Ho6 In8'
_symmetry_space_group_name_H-M 'I m m m'
_symmetry_Int_Tables_number 71
_symmetry_space_group_name_Hall '-I 2 2'
_cell_length_a 3.6002
_cell_length_b 9.5242
_cell_length_c 19.8978
_cell_angle_alpha 90.00
_cell_angle_beta 90.00
_cell_angle_gamma 90.00
loop_
_atom_site_label
_atom_site_fract_x
_atom_site_fract_y
_atom_site_fract_z
_atom_site_occupancy
La1 0.0000 0.1668 0.1617 1
Ho1 0.0000 0.0000 0.4095 1
Ho2 0.0000 0.5000 0.5000 1
In1 0.0000 0.2799 0.0000 1
In2 0.0000 0.5000 0.2192 1
```

- E_form (eV/atom) = -0.33
- V (Å³ per cell) = 682.3
- total DFT energy (no corrections) (eV per formula unit) = -48.1



Entry 20:
BPb2O4 | PBE-GGA | optimized geometry

Geometry as CIF:
```
data_BPb2O4
_chemical_formula_sum 'B2 Pb4 O8'
_symmetry_space_group_name_H-M 'C 1 m 1'
_symmetry_Int_Tables_number 8
_symmetry_space_group_name_Hall 'C -2y'
_cell_length_a 6.8289
_cell_length_b 7.0046
_cell_length_c 6.2318
_cell_angle_alpha 90.00
_cell_angle_beta 123.01
_cell_angle_gamma 90.00
loop_
_atom_site_label
_atom_site_fract_x
_atom_site_fract_y
_atom_site_fract_z
_atom_site_occupancy
B1 0.0000 0.0000 0.0000 1
Pb1 0.2543 0.2500 0.5001 1
O1 0.0005 0.1816 0.0000 1
O2 0.0041 0.0000 0.5001 1
O3 0.0042 0.5000 0.5002 1
```

- polymorph energy (0 for the lowest one) (meV/atom) = 0
- V (Å³ per cell) = 250.0
- uncorrected formation energy (kcal/mol of atoms) = -29.0
- total DFT energy (no corrections) (eV per formula unit) = -42.7